Entry 1:
Compound: CsAsPbSe2
Source: the Alexandria database
Functional: GGA-PBE
Structure: relaxed

Output
As for the density of states at the Fermi level: 6.5 states/eV/cell. For the raw formation energy, the calculation gives 1.012 eV/atom. The value obtained for the calculated density is 5.0 g/cm3. As for the space group: P4/mmm. The value obtained for the offset from the most stable computed form is 1128 meV per atom.

```
CsAsPbSe2
1.0
5.693 0.000 0.000
0.000 5.693 0.000
0.000 0.000 5.813
Cs As Pb Se
1 1 1 2
direct
0.000 0.000 0.000
0.000 0.000 0.500
0.500 0.500 0.500
0.000 0.500 0.000
0.500 0.000 0.000
```

=====

Entry 2:
Compound: MgCd2
Source: the Alexandria database
Functional: GGA-PBE
Structure: relaxed

Output
As for the density of states at the Fermi level: 4.0 states/eV/cell. The calculation puts the energy relative to the elements at -65 meV per atom. The value obtained for the calculated density is 6.3 g/cm3. As for the space group: Pnma.

```
MgCd2
1.0
6.382 0.000 0.000
0.000 4.504 0.000
0.000 0.000 9.145
Mg Cd
4 8
direct
0.131 0.250 0.090
0.369 0.750 0.590
0.631 0.250 0.410
0.869 0.750 0.910
0.120 0.250 0.756
0.133 0.250 0.422
0.367 0.750 0.922
0.380 0.750 0.256
0.620 0.250 0.744
0.633 0.250 0.078
0.867 0.750 0.578
0.880 0.750 0.244
```

=====

Entry 3:
Compound: TmBe9Ir2
Source: the Alexandria database
Functional: GGA-PBE
Structure: relaxed

Output
As for the density of states at the Fermi level: 4.2 states/eV/cell. The calculation puts the energy relative to the elements at -384 meV per atom. The value obtained for the calculated density is 8.6 g/cm3. As for the space group: R-3m.

```
TmBe9Ir2
1.0
2.221 1.282 7.141
-2.221 1.282 7.141
0.000 -2.564 7.141
Tm Be Ir
1 9 2
direct
0.000 0.000 0.000
0.082 0.591 0.591
0.332 0.332 0.332
0.409 0.409 0.918
0.409 0.918 0.409
0.500 0.500 0.500
0.591 0.082 0.591
0.591 0.591 0.082
0.668 0.668 0.668
0.918 0.409 0.409
0.139 0.139 0.139
0.861 0.861 0.861
```

=====

Entry 4:
Compound: PmCdRh4
Source: the Alexandria database
Functional: GGA-PBE
Structure: relaxed

Output
As for the density of states at the Fermi level: 5.5 states/eV/cell. The calculation puts the energy relative to the elements at -399 meV per atom. The value obtained for the calculated density is 10.4 g/cm3. As for the space group: F-43m.

```
PmCdRh4
1.0
0.000 3.760 3.760
3.760 0.000 3.760
3.760 3.760 0.000
Pm Cd Rh
1 1 4
direct
0.000 0.000 0.000
0.750 0.750 0.750
0.375 0.375 0.375
0.375 0.375 0.874
0.375 0.874 0.375
0.874 0.375 0.375
```

=====

Entry 5:
Compound: CeMgIr
Source: the Alexandria database
Functional: GGA-PBE
Structure: relaxed

Output
As for the density of states at the Fermi level: 5.2 states/eV/cell. The calculation puts the energy relative to the elements at -325 meV per atom. The value obtained for the calculated density is 9.2 g/cm3. As for the space group: P-6m2.

```
CeMgIr
1.0
4.571 0.000 0.000
-2.286 3.959 0.000
0.000 0.000 3.564
Ce Mg Ir
1 1 1
direct
0.000 0.000 0.000
0.667 0.333 0.500
0.333 0.667 0.500
```

=====

Entry 6:
Compound: NdSm5Tm4
Source: the Alexandria database
Functional: GGA-PBE
Structure: relaxed

Output
As for the density of states at the Fermi level: 15.2 states/eV/cell. The calculation puts the energy relative to the elements at 44 meV per atom. The value obtained for the calculated density is 8.0 g/cm3. As for the space group: Cm. The value obtained for the offset from the most stable computed form is 0 meV per atom.

```
NdSm5Tm4
1.0
8.393 -2.737 0.000
8.393 2.737 0.000
-0.002 0.000 7.067
Nd Sm Tm
1 5 4
direct
0.000 0.000 0.000
0.000 0.000 0.494
0.200 0.200 0.494
0.391 0.391 0.745
0.609 0.609 0.747
0.800 0.800 0.999
0.200 0.200 0.999
0.390 0.390 0.249
0.610 0.610 0.246
0.801 0.801 0.494
```

=====

Entry 7:
Compound: CaEuY2
Source: the Alexandria database
Functional: GGA-PBE
Structure: relaxed

Output
As for the density of states at the Fermi level: 5.6 states/eV/cell. The calculation puts the energy relative to the elements at 220 meV per atom. The value obtained for the calculated density is 4.2 g/cm3. As for the space group: R-3m. The value obtained for the offset from the most stable computed form is 68 meV per atom.

```
CaEuY2
1.0
1.805 1.042 12.878
-1.805 1.042 12.878
0.000 -2.084 12.878
Ca Eu Y
1 1 2
direct
0.000 0.000 0.000
0.500 0.500 0.500
0.088 0.088 0.088
0.912 0.912 0.912
```

=====

Entry 8:
Compound: Ac4Ni3Sb8
Source: the Alexandria database
Functional: GGA-PBE
Structure: relaxed

Output
As for the density of states at the Fermi level: 10.0 states/eV/cell. For the raw formation energy, the calculation gives -0.740 eV/atom. The value obtained for the calculated density is 8.1 g/cm3. As for the space group: P-4m2.

```
Ac4Ni3Sb8
1.0
4.515 0.000 0.000
0.000 4.515 0.000
0.000 0.000 20.715
Ac Ni Sb
4 3 8
direct
0.000 0.500 0.118
0.000 0.500 0.622
0.500 0.000 0.378
0.500 0.000 0.882
0.000 0.000 0.000
0.000 0.000 0.500
0.500 0.500 0.500
0.000 0.000 0.248
0.000 0.000 0.752
0.000 0.500 0.440
0.000 0.500 0.944
0.500 0.000 0.056
0.500 0.000 0.560
0.500 0.500 0.249
0.500 0.500 0.751
```

=====

Entry 9:
Compound: Tb5Sm12In2
Source: the Alexandria database
Functional: GGA-PBE
Structure: relaxed

Output
As for the density of states at the Fermi level: 27.6 states/eV/cell. The calculation puts the energy relative to the elements at -10 meV per atom. The value obtained for the calculated density is 7.6 g/cm3. As for the space group: C2/m.

```
Tb5Sm12In2
1.0
7.752 -4.671 0.000
7.752 4.671 0.000
-0.445 0.000 8.528
Tb Sm In
5 12 2
direct
0.000 0.000 0.000
0.232 0.232 0.081
0.311 0.311 0.489
0.689 0.689 0.511
0.768 0.768 0.919
0.037 0.667 0.265
0.081 0.081 0.384
0.181 0.570 0.835
0.333 0.963 0.735
0.430 0.819 0.165
0.444 0.444 0.176
0.556 0.556 0.824
0.570 0.181 0.835
0.667 0.037 0.265
0.819 0.430 0.165
0.919 0.919 0.616
0.963 0.333 0.735
0.323 0.677 0.500
0.677 0.323 0.500
```

=====

Entry 10:
Compound: SmDyTh2
Source: the Alexandria database
Functional: GGA-PBE
Structure: relaxed

Output
As for the density of states at the Fermi level: 5.9 states/eV/cell. The calculation puts the energy relative to the elements at 46 meV per atom. The value obtained for the calculated density is 10.0 g/cm3. As for the space group: R3m. The value obtained for the offset from the most stable computed form is 16 meV per atom.

```
SmDyTh2
1.0
1.788 1.032 11.687
-1.788 1.032 11.687
0.000 -2.065 11.687
Sm Dy Th
1 1 2
direct
0.000 0.000 0.000
0.170 0.170 0.170
0.584 0.584 0.584
0.753 0.753 0.753
```

=====

Entry 11:
Compound: CoIrOs2
Source: the Alexandria database
Functional: GGA-PBE
Structure: relaxed

Output
As for the density of states at the Fermi level: 3.8 states/eV/cell. The calculation puts the energy relative to the elements at 118 meV per atom. The value obtained for the calculated density is 19.3 g/cm3. As for the space group: C2/m. The value obtained for the offset from the most stable computed form is 27 meV per atom.

```
CoIrOs2
1.0
4.428 -1.346 0.000
4.428 1.346 0.000
-0.811 0.000 4.552
Co Ir Os
1 1 2
direct
0.000 0.000 0.000
0.500 0.500 0.500
0.250 0.250 0.757
0.750 0.750 0.243
```

=====

Entry 12:
Compound: NaLiH2
Source: the Alexandria database
Functional: GGA-PBE
Structure: relaxed

Output
As for the density of states at the Fermi level: 0.0 states/eV/cell. The value obtained for the calculated density is 1.2 g/cm3. As for the space group: R3m. The value obtained for the offset from the most stable computed form is 43 meV per atom.

```
NaLiH2
1.0
1.534 0.886 5.328
-1.534 0.886 5.328
0.000 -1.771 5.328
Na Li H
1 1 2
direct
0.000 0.000 0.000
0.170 0.170 0.170
0.575 0.575 0.575
0.764 0.764 0.764
```

=====

Entry 13:
Compound: AcPrPbO2
Source: the Alexandria database
Functional: GGA-PBE
Structure: relaxed

Output
As for the density of states at the Fermi level: 2.9 states/eV/cell. For the raw formation energy, the calculation gives -2.423 eV/atom. The value obtained for the calculated density is 8.0 g/cm3. As for the space group: I4mm.

```
AcPrPbO2
1.0
-2.051 2.051 7.532
2.051 -2.051 7.532
2.051 2.051 -7.532
Ac Pr Pb O
1 1 1 2
direct
0.000 0.000 0.000
0.667 0.667 0.000
0.332 0.332 0.000
0.088 0.588 0.500
0.588 0.088 0.500
```

=====

Entry 14:
Compound: SrTi2S4
Source: the Alexandria database
Functional: GGA-PBE
Structure: relaxed

Output
As for the density of states at the Fermi level: 8.5 states/eV/cell. For the raw formation energy, the calculation gives -1.531 eV/atom. The value obtained for the calculated density is 3.8 g/cm3. As for the space group: Cmcm.

```
SrTi2S4
1.0
1.853 -5.931 0.000
1.853 5.931 0.000
0.000 0.000 12.483
Sr Ti S
2 4 8
direct
0.119 0.881 0.750
0.881 0.119 0.250
0.377 0.623 0.563
0.377 0.623 0.937
0.623 0.377 0.063
0.623 0.377 0.437
0.000 0.000 0.000
0.000 0.000 0.500
0.264 0.736 0.104
0.264 0.736 0.396
0.427 0.573 0.750
0.573 0.427 0.250
0.736 0.264 0.604
0.736 0.264 0.896
```

=====

Entry 15:
Compound: Ti12Zn3Hg
Source: the Alexandria database
Functional: GGA-PBE
Structure: relaxed

Output
As for the density of states at the Fermi level: 20.1 states/eV/cell. The calculation puts the energy relative to the elements at -87 meV per atom. The value obtained for the calculated density is 6.1 g/cm3. As for the space group: P4/mmm.

```
Ti12Zn3Hg
1.0
4.046 0.000 0.000
0.000 4.046 0.000
0.000 0.000 16.179
Ti Zn Hg
12 3 1
direct
0.000 0.000 0.000
0.000 0.000 0.246
0.000 0.000 0.500
0.000 0.000 0.754
0.000 0.500 0.123
0.000 0.500 0.368
0.000 0.500 0.632
0.000 0.500 0.877
0.500 0.000 0.123
0.500 0.000 0.368
0.500 0.000 0.632
0.500 0.000 0.877
0.500 0.500 0.000
0.500 0.500 0.246
0.500 0.500 0.754
0.500 0.500 0.500
```

=====

Entry 16:
Compound: VAg2Cl
Source: the Alexandria database
Functional: GGA-PBE
Structure: relaxed

Output
As for the density of states at the Fermi level: 5.6 states/eV/cell. For the raw formation energy, the calculation gives 0.678 eV/atom. The value obtained for the calculated density is 6.4 g/cm3. As for the space group: Fm-3m. The value obtained for the offset from the most stable computed form is 269 meV per atom.

```
VAg2Cl
1.0
0.000 3.395 3.395
3.395 0.000 3.395
3.395 3.395 0.000
V Ag Cl
1 2 1
direct
0.000 0.000 0.000
0.250 0.250 0.250
0.750 0.750 0.750
0.500 0.500 0.500
```

=====

Entry 17:
Compound: AlCu
Source: the Alexandria database
Functional: GGA-PBE
Structure: relaxed

Output
As for the density of states at the Fermi level: 1.0 states/eV/cell. The calculation puts the energy relative to the elements at 599 meV per atom. The value obtained for the calculated density is 3.5 g/cm3. As for the space group: F-43m.

```
AlCu
1.0
0.000 2.775 2.775
2.775 0.000 2.775
2.775 2.775 0.000
Al Cu
1 1
direct
0.000 0.000 0.000
0.750 0.750 0.750
```

=====

Entry 18:
Compound: ZrHgOs3
Source: the Alexandria database
Functional: GGA-PBE
Structure: relaxed

Output
As for the density of states at the Fermi level: 5.1 states/eV/cell. The calculation puts the energy relative to the elements at 2402 meV per atom. The value obtained for the calculated density is 12.4 g/cm3. As for the space group: Pm-3m. The value obtained for the offset from the most stable computed form is 0 meV per atom.

```
ZrHgOs3
1.0
4.873 0.000 0.000
0.000 4.873 0.000
0.000 0.000 4.873
Zr Hg Os
1 1 3
direct
0.000 0.000 0.000
0.500 0.500 0.500
0.000 0.000 0.500
0.000 0.500 0.000
0.500 0.000 0.000
```

=====

Entry 19:
Compound: Ge2P3Au
Source: the Alexandria database
Functional: GGA-PBE
Structure: relaxed

Output
As for the density of states at the Fermi level: 0.8 states/eV/cell. The calculation puts the energy relative to the elements at -21 meV per atom. The value obtained for the calculated density is 5.7 g/cm3. As for the space group: Cc.

```
Ge2P3Au
1.0
3.378 -5.877 0.000
3.378 5.877 0.000
-2.176 0.000 6.440
Ge P Au
4 6 2
direct
0.082 0.918 0.500
0.272 0.773 0.002
0.773 0.272 0.502
0.918 0.082 0.000
0.056 0.220 0.375
0.220 0.056 0.875
0.388 0.902 0.379
0.553 0.721 0.882
0.721 0.553 0.382
0.902 0.388 0.879
0.428 0.606 0.506
0.606 0.428 0.006
```

=====

Entry 20:
Compound: BClF
Source: the Alexandria database
Functional: GGA-PBE
Structure: relaxed

Output
As for the density of states at the Fermi level: 0.0 states/eV/cell. For the raw formation energy, the calculation gives -1.538 eV/atom. The value obtained for the calculated density is 1.5 g/cm3. As for the space group: P-1. The value obtained for the offset from the most stable computed form is 0 meV per atom.

```
BClF
1.0
4.497 0.000 0.000
-0.541 4.559 0.000
-1.726 -2.373 7.204
B Cl F
2 2 2
direct
0.124 0.469 0.092
0.876 0.531 0.908
0.151 0.674 0.322
0.849 0.326 0.678
0.306 0.259 0.062
0.694 0.741 0.938
```